Record 1
Crystalline Zn2Ni4H5 at its relaxed geometry. Source: Alexandria via LeMat-Bulk, functional PBE.

Values from the calculation:
E (eV per atom): -3.876
Symmetry: Fmmm

Lattice parameters (Å, degrees): 4.3465 4.6816 5.2927 79.01 65.76 62.34
With the nearest neighbours (Å) after each atom.
Atoms (fractional coordinates):
Zn 0.8473 0.0000 0.3053  8 Ni 2.52-2.80, 10 H 2.52-2.77
Zn 0.1527 0.0000 0.6947  8 Ni 2.52-2.80, 10 H 2.52-2.77
H 0.7500 0.5000 0.5000  4 Ni 1.76
H 0.2500 0.5000 0.5000  4 Ni 1.76
H 0.5000 0.0000 0.0000  4 Ni 1.83
H 0.0000 0.5000 0.0000  4 Ni 1.79
H 0.5000 0.5000 0.0000  4 Ni 1.79
Ni 0.4635 0.3278 0.7452  5 H 1.76-1.83
Ni 0.5365 0.6722 0.2548  5 H 1.76-1.83
Ni 0.2087 0.3278 0.2548  5 H 1.76-1.83
Ni 0.7913 0.6722 0.7452  5 H 1.76-1.83

***

Record 2
Crystalline ZnNi3H at its relaxed geometry. Source: Alexandria via LeMat-Bulk, functional PBE.

Values from the calculation:
E (eV per atom): -4.497
Symmetry: C2/c

Lattice parameters (Å, degrees): 9.4997 6.6275 6.6275 79.01 124.20 55.80
With the nearest neighbours (Å) after each atom.
Atoms (fractional coordinates):
H 0.2500 0.5565 0.0565  6 Ni 1.79-1.87
H 0.7500 0.1880 0.6880  6 Ni 1.80-1.85
H 0.7500 0.4435 0.9435  6 Ni 1.79-1.87
H 0.2500 0.8120 0.3120  6 Ni 1.80-1.85
Ni 0.4218 0.3862 0.4844  3 H 1.80-1.87
Ni 0.0830 0.7316 0.6428  1 H 1.79
Ni 0.4170 0.1428 0.2316  1 H 1.79
Ni 0.9170 0.2684 0.3572  1 H 1.79
Ni 0.4121 0.6521 0.7275  2 H 1.83
Ni 0.5830 0.8572 0.7684  1 H 1.79
Ni 0.5879 0.3479 0.2725  2 H 1.83
Ni 0.9218 0.0156 0.1138  3 H 1.80-1.87
Ni 0.5782 0.6138 0.5156  3 H 1.80-1.87
Ni 0.9121 0.7725 0.8479  2 H 1.83
Ni 0.0782 0.9844 0.8862  3 H 1.80-1.87
Ni 0.0879 0.2275 0.1521  2 H 1.83
Zn 0.4193 0.8802 0.9833  8 Ni 2.48-2.61, 4 Zn 2.63-2.72
Zn 0.5807 0.1198 0.0167  8 Ni 2.48-2.61, 4 Zn 2.63-2.72
Zn 0.9193 0.5167 0.6198  8 Ni 2.48-2.61, 4 Zn 2.63-2.72
Zn 0.0807 0.4833 0.3802  8 Ni 2.48-2.61, 4 Zn 2.63-2.72

***

Record 3
Crystalline ZnNi3H at its relaxed geometry. Source: Alexandria via LeMat-Bulk, functional PBE.

Values from the calculation:
E (eV per atom): -4.508
Symmetry: C2/m

Lattice parameters (Å, degrees): 4.4822 5.7110 4.4827 74.80 69.12 103.94
With the nearest neighbours (Å) after each atom.
Atoms (fractional coordinates):
Zn 0.8728 0.7401 0.1780  1 H 2.16
Zn 0.1540 0.2622 0.9364  1 H 2.16
Ni 0.0135 0.0012 0.5571  2 H 1.82
Ni 0.5135 0.0012 0.0570  2 H 1.82
Ni 0.7627 0.5013 0.8082  2 H 1.82-1.83
Ni 0.3994 0.7571 0.6875  1 H 1.67
Ni 0.6275 0.2452 0.4267  1 H 1.67
Ni 0.2642 0.5013 0.3061  2 H 1.82-1.83
H 0.8558 0.2512 0.6497  5 Ni 1.67-1.83
H 0.1710 0.7512 0.4648  5 Ni 1.67-1.83

***

Record 4
Crystalline ZnNi6H4 at its relaxed geometry. Source: Alexandria via LeMat-Bulk, functional PBE.

Values from the calculation:
E (eV per atom): -4.513
Symmetry: Cmcm

Lattice parameters (Å, degrees): 2.6175 4.7496 14.7536 90.00 90.00 105.99
With the nearest neighbours (Å) after each atom.
Atoms (fractional coordinates):
Ni 0.5972 0.1944 0.7500  2 H 1.99
Ni 0.0456 0.0912 0.1388  3 H 1.73-1.82
Ni 0.4028 0.8056 0.2500  2 H 1.99
Ni 0.5000 0.0000 0.5000  6 H 1.88-1.98
Ni 0.2237 0.4475 0.5814  5 H 1.85-1.92
Ni 0.9544 0.9088 0.8612  3 H 1.73-1.82
Ni 0.0456 0.0912 0.3612  3 H 1.73-1.82
Ni 0.2237 0.4475 0.9186  5 H 1.85-1.92
Ni 0.9544 0.9088 0.6388  3 H 1.73-1.82
Ni 0.7763 0.5525 0.4186  5 H 1.85-1.92
Ni 0.7763 0.5525 0.0814  5 H 1.85-1.92
Ni 0.5000 0.0000 0.0000  6 H 1.88-1.98
H 0.5880 0.1761 0.8847  6 Ni 1.82-1.99
H 0.8511 0.7022 0.9596  4 Ni 1.73-1.92
H 0.5880 0.1761 0.6153  6 Ni 1.82-1.99
H 0.1489 0.2978 0.4596  4 Ni 1.73-1.92
H 0.4120 0.8239 0.3847  6 Ni 1.82-1.99
H 0.8511 0.7022 0.5404  4 Ni 1.73-1.92
H 0.1489 0.2978 0.0404  4 Ni 1.73-1.92
H 0.4120 0.8239 0.1153  6 Ni 1.82-1.99
Zn 0.6827 0.3654 0.2500  9 Ni 2.40-2.63, 2 Zn 2.62
Zn 0.3173 0.6346 0.7500  9 Ni 2.40-2.63, 2 Zn 2.62

***

Record 5
Crystalline ZnNi4H4 at its relaxed geometry. Source: Alexandria via LeMat-Bulk, functional PBE.

Values from the calculation:
E (eV per atom): -4.282
Symmetry: I4/m

Lattice parameters (Å, degrees): 3.4693 4.7198 4.7130 82.20 68.40 68.44
With the nearest neighbours (Å) after each atom.
Atoms (fractional coordinates):
H 0.8514 0.4850 0.8122  4 Ni 1.69-1.77
H 0.6637 0.1873 0.4854  4 Ni 1.69-1.77
H 0.1486 0.5150 0.1878  4 Ni 1.69-1.77
H 0.3363 0.8127 0.5146  4 Ni 1.69-1.77
Ni 0.7982 0.8050 0.5986  4 H 1.69-1.77
Ni 0.3968 0.4013 0.8051  4 H 1.69-1.77
Ni 0.6032 0.5987 0.1949  4 H 1.69-1.77
Ni 0.2018 0.1950 0.4014  4 H 1.69-1.77
Zn 0.0000 0.0000 0.0000  4 H 2.28

***

Record 6
Crystalline ZnNi5H8 at its relaxed geometry. Source: Alexandria via LeMat-Bulk, functional PBE.

Values from the calculation:
E (eV per atom): -4.077
Symmetry: Cm

Lattice parameters (Å, degrees): 2.6405 6.6970 6.4247 116.86 101.86 90.00
With the nearest neighbours (Å) after each atom.
Atoms (fractional coordinates):
H 0.6037 0.1034 0.2073  4 Ni 1.72-1.86
H 0.6798 0.6803 0.3597  3 Ni 1.62-1.71
H 0.9630 0.2139 0.9261  3 Ni 1.68-1.71
H 0.1957 0.4056 0.3915  3 Ni 1.66-1.72
H 0.8295 0.6247 0.6591  3 Ni 1.68-1.71
H 0.0638 0.8113 0.1275  3 Ni 1.68-1.76
H 0.2414 0.1320 0.4828  1 Ni 1.60
H 0.4049 0.9232 0.8098  4 Ni 1.68-1.73
Ni 0.2669 0.6853 0.5337  6 H 1.66-1.73
Ni 0.6564 0.8994 0.3128  4 H 1.62-1.77
Ni 0.7595 0.3366 0.5190  6 H 1.71-1.86
Ni 0.0051 0.0042 0.0103  6 H 1.71-1.76
Ni 0.3699 0.1362 0.7398  4 H 1.60-1.68
Zn 0.4603 0.5440 0.9206  4 H 2.12-2.36

***

Record 7
Crystalline ZnNi3H at its relaxed geometry. Source: Alexandria via LeMat-Bulk, functional PBE.

Values from the calculation:
E (eV per atom): -4.528
Symmetry: P6_3/mmc

Lattice parameters (Å, degrees): 4.2147 5.1184 5.1182 120.00 90.00 90.00
With the nearest neighbours (Å) after each atom.
Atoms (fractional coordinates):
Ni 0.3704 0.0700 0.6755  2 H 1.83
Ni 0.8704 0.2390 0.5066  2 H 1.83
Ni 0.8704 0.7323 0.5066  2 H 1.83
Ni 0.3704 0.5634 0.1689  2 H 1.83
Ni 0.8705 0.7323 0.0000  2 H 1.83
Ni 0.3705 0.0701 0.1689  2 H 1.83
H 0.6211 0.9012 0.3377  6 Ni 1.83
H 0.1211 0.9013 0.3378  6 Ni 1.83
Zn 0.8705 0.2345 0.0044  12 Ni 2.56
Zn 0.3705 0.5678 0.6711  12 Ni 2.56

***

Record 8
Crystalline ZrZnNi2H at its relaxed geometry. Source: Alexandria via LeMat-Bulk, functional PBE.

Values from the calculation:
E (eV per atom): -5.081
Symmetry: P4/mmm

Lattice parameters (Å, degrees): 3.8899 3.8899 4.0396 90.00 90.00 90.00
With the nearest neighbours (Å) after each atom.
Atoms (fractional coordinates):
Zr 0.0000 0.0000 0.5000  2 H 2.02
Ni 0.0000 0.5000 0.0000  2 H 1.94
Ni 0.5000 0.0000 0.0000  2 H 1.94
Zn 0.5000 0.5000 0.5000  4 Zr 2.75, 8 Ni 2.80
H 0.0000 0.0000 0.0000  4 Ni 1.94, 2 Zr 2.02

***

Record 9
Crystalline ZrNi3H at its relaxed geometry. Source: Alexandria via LeMat-Bulk, functional PBE.

Values from the calculation:
E (eV per atom): -6.057
Symmetry: Pm-3m

Lattice parameters (Å, degrees): 3.8223 3.8223 3.8223 90.00 90.00 90.00
With the nearest neighbours (Å) after each atom.
Atoms (fractional coordinates):
Ni 0.5000 0.0000 0.0000  2 H 1.91
Ni 0.0000 0.0000 0.5000  2 H 1.91
Ni 0.0000 0.5000 0.0000  2 H 1.91
Zr 0.5000 0.5000 0.5000  12 Ni 2.70
H 0.0000 0.0000 0.0000  6 Ni 1.91

***

Record 10
Crystalline Zr2NiH2 at its relaxed geometry. Source: Alexandria via LeMat-Bulk, functional PBE.

Values from the calculation:
E (eV per atom): -6.364
Symmetry: I4/mmm

Lattice parameters (Å, degrees): 3.1967 3.1967 6.4188 75.58 75.58 90.00
With the nearest neighbours (Å) after each atom.
Atoms (fractional coordinates):
H 0.2500 0.7500 0.5000  4 Zr 2.10, 4 H 2.26
H 0.7500 0.2500 0.5000  4 Zr 2.10, 4 H 2.26
Zr 0.6362 0.6362 0.7275  4 H 2.10
Zr 0.3638 0.3638 0.2725  4 H 2.10
Ni 0.0000 0.0000 0.0000  8 Zr 2.79

***

Record 11
Crystalline ZrNi2H8 at its relaxed geometry. Source: Alexandria via LeMat-Bulk, functional PBE.

Values from the calculation:
E (eV per atom): -4.290
Symmetry: P4/mmm

Lattice parameters (Å, degrees): 4.1345 4.1345 4.3106 90.00 90.00 90.00
With the nearest neighbours (Å) after each atom.
Atoms (fractional coordinates):
H 0.7782 0.7782 0.2140  2 Ni 1.74, 3 H 1.83-1.85
H 0.2218 0.7782 0.7860  2 Ni 1.74, 3 H 1.83-1.85
H 0.2218 0.7782 0.2140  2 Ni 1.74, 3 H 1.83-1.85
H 0.7782 0.2218 0.2140  2 Ni 1.74, 3 H 1.83-1.85
H 0.2218 0.2218 0.2140  2 Ni 1.74, 3 H 1.83-1.85
H 0.7782 0.2218 0.7860  2 Ni 1.74, 3 H 1.83-1.85
H 0.2218 0.2218 0.7860  2 Ni 1.74, 3 H 1.83-1.85
H 0.7782 0.7782 0.7860  2 Ni 1.74, 3 H 1.83-1.85
Ni 0.5000 0.0000 0.0000  8 H 1.74
Ni 0.0000 0.5000 0.0000  8 H 1.74
Zr 0.5000 0.5000 0.5000  8 H 2.04

***

Record 12
Crystalline Zr2NiH at its relaxed geometry. Source: Alexandria via LeMat-Bulk, functional PBE.

Values from the calculation:
E (eV per atom): -6.678
Symmetry: R-3m

Lattice parameters (Å, degrees): 3.3016 3.3016 6.6802 75.69 75.69 60.00
With the nearest neighbours (Å) after each atom.
Atoms (fractional coordinates):
Ni 0.0000 0.0000 0.0000  6 Zr 2.67
Zr 0.2362 0.2362 0.2914  3 H 2.33
Zr 0.7638 0.7638 0.7086  3 H 2.33
H 0.5000 0.5000 0.5000  6 Zr 2.33